SrWBr2: relaxed, PBE.

It has space group Pmm2 (No. 25), with a = 3.837 Å, b = 4.751 Å, c = 6.129 Å, α = 90.00°, β = 90.00° and γ = 90.00°. The distinct sites, in fractional coordinates, are Sr at (0.000, 0.000, 0.000), W at (0.500, 0.500, 0.296), Br at (0.000, 0.000, 0.490) and Br at (0.500, 0.500, 0.824).

As for the excess energy over the best structure of this formula in the dataset: 311 meV/atom. The value obtained for the density of states at the Fermi level is 0.4720 states/eV per atom. Its formation energy without anion corrections is 324 meV per atom.

=====

Sr3WBr: relaxed, PBE.

It has space group Pm-3m (No. 221), with a = 5.856 Å, b = 5.856 Å, c = 5.856 Å, α = 90.00°, β = 90.00° and γ = 90.00°. The distinct sites, in fractional coordinates, are Sr at (0.000, 0.000, 0.500), W at (0.500, 0.500, 0.500) and Br at (0.000, 0.000, 0.000).

As for the excess energy over the best structure of this formula in the dataset: 76 meV/atom. The value obtained for the density of states at the Fermi level is 1.4763 states/eV per atom. Its formation energy without anion corrections is 655 meV per atom.

=====

SrWBr2: relaxed, PBE.

It has space group R-3m (No. 166, hexagonal axes), with a = 3.4079 Å, b = 3.4079 Å, c = 29.0925 Å, α = 90.00°, β = 90.00° and γ = 120.00°. The distinct sites, in fractional coordinates, are Sr at (0.0000, 0.0000, 0.0000), W at (0.0000, 0.0000, 0.5000) and Br at (0.0000, 0.0000, 0.4138).

As for the excess energy over the best structure of this formula in the dataset: 262 meV/atom. The value obtained for the density of states at the Fermi level is 0.5386 states/eV per atom. Its formation energy without anion corrections is 275 meV per atom.